Here is a relaxed structure of Co2TeRuO6 from the Alexandria database. Energies are from PBE+U.

Calculated values
E_tot = -0.2223 hartree per atom
D(E_F) = 4.35 states/eV/f.u.
space group = R3 (146)
crystal system = trigonal
size of the total moment = 0.1996 μB per atom

Cell lengths 5.534, 5.534, 5.534 Å; angles 56.80, 56.80, 56.80 degrees
Positions (direct):
Co 0.000 0.000 0.000
Co 0.483 0.483 0.483
Te 0.203 0.203 0.203
Ru 0.687 0.687 0.687
O 0.090 0.792 0.382
O 0.271 0.638 0.877
O 0.382 0.090 0.792
O 0.638 0.877 0.271
O 0.792 0.382 0.090
O 0.877 0.271 0.638